# 1
PaSi2BiO8 (GGA-PBE, optimized geometry); space-group type = I-4m2 (119); crystal system = tetragonal; uncorrected formation energy = -2.69 eV per atom
1.0
-3.540 3.540 3.130
3.540 -3.540 3.130
3.540 3.540 -3.130
Pa Si Bi O
1 2 1 8
Direct
0.000 0.000 0.000
0.500 0.500 0.000
0.750 0.250 0.500
0.250 0.750 0.500
0.323 0.151 0.828
0.323 0.494 0.172
0.403 0.088 0.315
0.506 0.677 0.828
0.773 0.088 0.685
0.849 0.677 0.172
0.912 0.227 0.315
0.912 0.597 0.685

# 2
Nd4NiIr3 (GGA-PBE, optimized geometry); formation energy from the elements = -571.0 meV/atom; space-group type = Pmm2 (25); crystal system = orthorhombic
1.0
4.068 0.000 0.000
0.000 4.180 0.000
0.000 0.000 10.959
Nd Ni Ir
4 1 3
Direct
0.000 0.000 0.000
0.000 0.500 0.286
0.500 0.000 0.499
0.500 0.500 0.784
0.000 0.000 0.712
0.000 0.500 0.575
0.500 0.000 0.223
0.500 0.500 0.057

# 3
La3Tb2YHo6 (GGA-PBE, optimized geometry); formation energy from the elements = 22.1 meV/atom; space-group type = C2/m (12); crystal system = monoclinic
1.0
3.113 -5.393 0.000
3.113 5.393 0.000
-2.074 0.000 11.660
La Tb Y Ho
3 2 1 6
Direct
0.000 0.000 0.000
0.333 0.667 0.000
0.667 0.333 0.000
0.167 0.833 0.500
0.833 0.167 0.500
0.500 0.500 0.500
0.085 0.418 0.255
0.248 0.248 0.745
0.418 0.085 0.255
0.582 0.915 0.745
0.752 0.752 0.255
0.915 0.582 0.745

# 4
CeDyTh2 (GGA-PBE, optimized geometry); formation energy from the elements = 68.8 meV/atom; space-group type = P4/mmm (123); E above lowest polymorph = 3.69 kJ/mol of atoms; crystal system = tetragonal
1.0
5.021 0.000 0.000
0.000 5.021 0.000
0.000 0.000 4.921
Ce Dy Th
1 1 2
Direct
0.000 0.000 0.000
0.500 0.500 0.000
0.000 0.500 0.500
0.500 0.000 0.500

no.,magnetization (μB/cell)
1,0.000
2,0.000
3,0.000
4,0.474